NpPaFeO6 | GGA+U | relaxed

a = 5.8173 Å, b = 5.8173 Å, c = 8.7700 Å
α = 90.00°, β = 90.00°, γ = 120.00°
Space group P-31c (No. 163)
One atom of each set of equivalent atoms:
Np1 0.3333 0.6667 0.2500 x2
Pa1 0.3333 0.6667 0.7500 x2
Fe1 0.0000 0.0000 0.0000 x2
O1 0.0063 0.3449 0.1322 x12

Summary:
- Total magnetization: 5.95 μB/f.u.
- Crystal system: trigonal
- Uncorrected energy: -8.959 eV/atom